NdEuHf2O6: optimized geometry, PBE.

## Properties
Volume ... 13.626 A^3/atom
E_form (uncorrected) ... -3.2260 eV per atom
Uncorrected energy ... -0.356 hartree per atom
Space-group type ... No. 65

abc: 5.685 5.685 4.216
angles: 90.00 90.00 90.81
Sites, in units of the cell vectors:
Nd1 0.000 0.000 0.000
Eu1 0.500 0.500 0.000
Hf1 0.000 0.500 0.500
Hf2 0.500 0.000 0.500
O1 0.000 0.500 0.000
O2 0.178 0.178 0.500
O3 0.318 0.682 0.500
O4 0.500 0.000 0.000
O5 0.682 0.318 0.500
O6 0.822 0.822 0.500

FeCuBr4: optimized geometry, PBE.

## Properties
Volume ... 27.781 A^3/atom
E_form (uncorrected) ... 1.1999 eV per atom
Uncorrected energy ... -0.074 hartree per atom
Space-group type ... No. 216

abc: 6.177 6.177 6.177
angles: 60.00 60.00 60.00
Sites, in units of the cell vectors:
Fe1 0.000 0.000 0.000
Cu1 0.250 0.250 0.250
Br1 0.124 0.625 0.625
Br2 0.625 0.124 0.625
Br3 0.625 0.625 0.124
Br4 0.625 0.625 0.625

MnSeIBr2: optimized geometry, PBE.

## Properties
Volume ... 23.961 A^3/atom
E_form (uncorrected) ... 0.2463 eV per atom
Uncorrected energy ... -0.120 hartree per atom
Space-group type ... No. 123
Polymorph energy (0 for the lowest one) ... 0 meV per atom

abc: 5.017 5.017 4.761
angles: 90.00 90.00 90.00
Sites, in units of the cell vectors:
Mn1 0.000 0.000 0.000
Se1 0.000 0.000 0.500
I1 0.500 0.500 0.500
Br1 0.000 0.500 0.000
Br2 0.500 0.000 0.000

KTaTcPd2: optimized geometry, PBE.

## Properties
Volume ... 21.626 A^3/atom
Uncorrected energy ... -0.157 hartree per atom
Space-group type ... No. 123

abc: 4.656 4.656 4.988
angles: 90.00 90.00 90.00
Sites, in units of the cell vectors:
K1 0.000 0.000 0.000
Ta1 0.000 0.000 0.500
Tc1 0.500 0.500 0.500
Pd1 0.000 0.500 0.000
Pd2 0.500 0.000 0.000

CaTlCd2Os: optimized geometry, PBE.

## Properties
Volume ... 33.259 A^3/atom
Uncorrected energy ... -0.077 hartree per atom
Space-group type ... No. 123

abc: 5.288 5.288 5.947
angles: 90.00 90.00 90.00
Sites, in units of the cell vectors:
Ca1 0.000 0.000 0.000
Tl1 0.000 0.000 0.500
Cd1 0.000 0.500 0.500
Cd2 0.500 0.000 0.500
Os1 0.500 0.500 0.000

TaZn2: optimized geometry, PBE.

## Properties
Volume ... 15.981 A^3/atom
Uncorrected energy ... -0.175 hartree per atom
Space-group type ... No. 63

abc: 7.413 7.413 4.726
angles: 90.00 90.00 158.33
Sites, in units of the cell vectors:
Ta1 0.052 0.948 0.750
Ta2 0.948 0.052 0.250
Zn1 0.278 0.722 0.250
Zn2 0.382 0.618 0.750
Zn3 0.618 0.382 0.250
Zn4 0.722 0.278 0.750